1.
The following is a PBE-GGA calculation of a relaxed structure of HoEr4Sc, from Alexandria.

Cell lengths 3.485, 18.080, 11.232 Å; angles 90.00, 90.00, 90.00 degrees
Space group Cmc2_1 (No. 36)
Asymmetric unit:
Ho: 0.000 0.168 0.000
Er: 0.000 0.057 0.246
Er: 0.000 0.168 0.491
Er: 0.000 0.386 0.246
Er: 0.000 0.500 0.496
Sc: 0.000 0.277 0.746

Computed properties:
Energy above the most stable polymorph in this dataset = 0 meV/atom
Formation enthalpy at 0 K = 0.02 eV per atom
Calculated volume = 29.49 Å³ per atom
E = -116.215 eV/cell
Magnetic moment = 0.0 Bohr magnetons per cell


2.
The following is a PBE-GGA calculation of a relaxed structure of Ho4Er8Sc, from Alexandria.

Cell lengths 7.3762, 7.3762, 25.4659 Å; angles 90.00, 90.00, 120.00 degrees
Space group R-3m (No. 166, hexagonal axes)
Asymmetric unit:
Ho: 0.0000 0.0000 0.0000
Ho: 0.0000 0.5000 0.0000
Er: 0.0000 0.0000 0.2216
Er: 0.0419 0.5209 0.7750
Sc: 0.0000 0.0000 0.5000

Computed properties:
Formation enthalpy at 0 K = 0.20 eV per atom
Calculated volume = 30.77 Å³ per atom
E = -175.683 eV/cell
Magnetic moment = 0.0 Bohr magnetons per cell


- Number 2 is which compound?
  Ho4Er8Sc